Here is crystalline Rb3La3AlS8 at its relaxed geometry from Alexandria. Energies are from GGA-PBE.

The structure in CIF format:
```
data_Rb3La3AlS8
_chemical_formula_sum 'Rb6 La6 Al2 S16'
_cell_length_a 14.434
_cell_length_b 8.323
_cell_length_c 9.175
_cell_angle_alpha 90.00
_cell_angle_beta 121.64
_cell_angle_gamma 90.00
_space_group_name_H-M_alt 'C 1 2/m 1'
_space_group_IT_number 12
loop_
_space_group_symop_operation_xyz
'x,y,z'
'-x,-y,-z'
'-x,y,-z'
'x,-y,z'
'x+1/2,y+1/2,z'
'-x+1/2,-y+1/2,-z'
'-x+1/2,y+1/2,-z'
'x+1/2,-y+1/2,z'
loop_
_atom_site_label
_atom_site_fract_x
_atom_site_fract_y
_atom_site_fract_z
_atom_site_occupancy
Rb1 0.000 0.000 0.000 1
Rb2 0.250 0.250 0.000 1
La1 0.000 0.500 0.500 1
La2 0.250 0.250 0.500 1
Al1 0.000 0.000 0.500 1
S1 0.014 0.219 0.323 1
S2 0.205 0.000 0.677 1
S3 0.233 0.500 0.700 1
```

Computed properties:
DOS at the Fermi energy   20.535 states/eV/f.u.
DFT total energy   -155.476 eV for the cell shown